Ca2TeRh2 | PBE | optimized geometry

```
Ca2TeRh2
1.0
3.752 0.000 0.000
0.000 3.752 0.000
1.876 1.876 8.466
Ca Te Rh
2 1 2
Cartesian
1.876 1.876 1.867 Ca
3.752 3.752 6.599 Ca
0.000 0.000 0.000 Te
3.752 1.876 4.233 Rh
1.876 3.752 4.233 Rh
```

Values from the calculation:
Space-group type: I4/mmm
Formation energy (no corrections) (eV/atom): -0.530
Total magnetization (μB/f.u.): 0.9